Record 1
Below is crystalline HgTe2Mo at its relaxed geometry, with properties calculated at the GGA-PBEsol level.

Cell: 3.5298 4.8570 5.0880 Å, 90.00 90.00 90.00°
Fractional positions:
Hg  0.0000  0.0000  0.0000
Te  0.0000  0.5000  0.5000
Te  0.5000  0.5000  0.0000
Mo  0.5000  0.0000  0.5000

Values from the calculation:
The value obtained for the volume is 87.2 Å³/f.u. For the formation energy from raw total energies, the calculation gives 0.74 eV per atom.


Record 2
Below is crystalline HgTe2Mo at its relaxed geometry, with properties calculated at the GGA-PBEsol level.

Cell: 10.0665 10.0665 10.0665 Å, 19.59 19.59 19.59°
Fractional positions:
Hg  0.0000  0.0000  0.0000
Te  0.2296  0.2296  0.2296
Te  0.7704  0.7704  0.7704
Mo  0.5000  0.5000  0.5000

Values from the calculation:
The value obtained for the volume is 100.3 Å³/f.u. For the formation energy from raw total energies, the calculation gives -0.06 eV per atom.


Record 3
Below is crystalline HgTeMo at its relaxed geometry, with properties calculated at the GGA-PBEsol level.

Cell: 4.5611 4.5611 4.5611 Å, 60.00 60.00 60.00°
Fractional positions:
Hg  0.0000  0.0000  0.0000
Te  0.5000  0.5000  0.5000
Mo  0.7500  0.7500  0.7500

Values from the calculation:
The value obtained for the volume is 67.1 Å³/f.u. For the formation energy from raw total energies, the calculation gives 0.54 eV per atom.